No. 1
A plane-wave DFT calculation with GGA-PBEsol was carried out for a relaxed structure of Ho2SnAu2.

The structure in extended XYZ format:
```
10
Lattice="-2.271 2.386 -1.719 2.489 -2.573 -6.859 -5.595 -5.344 -0.026" Properties=species:S:1:pos:R:3 pbc="T T T"
Sn 0.000 0.000 0.000
Ho -2.559 -1.008 -2.034
Au -3.316 -6.276 -4.330
Au 0.210 -1.641 -2.555
Ho -2.818 -4.523 -6.570
Sn -1.553 -3.959 -3.442
Au 0.089 -4.232 -5.991
Ho -4.958 -4.092 -3.145
Au -3.195 -3.685 -0.894
Ho -0.419 -1.439 -5.459
```

Calculated values
SG: P4/mbm (127)
Total DFT energy (no corrections) in eV/atom: -5.29
Total magnetization in μB per cell: 0.0
Formation enthalpy at 0 K in eV per formula unit: -4.447

No. 2
A plane-wave DFT calculation with GGA-PBEsol was carried out for a relaxed structure of Ho2SnAu2.

The structure in extended XYZ format:
```
20
Lattice="-0.496 -3.940 6.178 7.738 -0.206 0.490 -0.089 6.542 4.166" Properties=species:S:1:pos:R:3 pbc="T T T"
Au 4.468 -0.523 6.293
Au 2.469 1.201 7.232
Ho 4.999 2.377 6.283
Ho 6.282 1.049 1.173
Au 0.869 -0.050 1.941
Au 6.284 2.445 8.892
Sn -0.169 2.286 3.627
Sn 3.497 -3.058 4.878
Ho 2.153 0.019 4.550
Ho 1.367 5.287 3.482
Au 0.589 -2.273 5.426
Au 2.685 2.918 4.540
Au 4.684 1.195 3.601
Ho 6.272 -1.126 4.150
Ho 5.014 4.154 3.052
Sn 3.745 -1.088 1.789
Ho 0.881 3.522 6.683
Sn -0.416 0.316 6.716
Au 6.564 4.668 5.407
Ho 2.634 2.182 1.603
```

Calculated values
SG: P4_2/mnm (136)
Total DFT energy (no corrections) in eV/atom: -5.30
Total magnetization in μB per cell: 0.0
Formation enthalpy at 0 K in eV per formula unit: -4.468

No. 3
A plane-wave DFT calculation with GGA-PBEsol was carried out for a relaxed structure of HoSnAu.

The structure in extended XYZ format:
```
6
Lattice="4.619 0.000 0.000 -2.309 4.000 0.000 0.000 0.000 7.280" Properties=species:S:1:pos:R:3 pbc="T T T"
Sn 0.000 2.667 1.516
Ho 0.000 0.000 3.506
Au 2.309 1.333 2.258
Ho 0.000 0.000 7.146
Sn 2.309 1.333 5.156
Au 0.000 2.667 5.898
```

Calculated values
SG: P6_3mc (186)
Total DFT energy (no corrections) in eV/atom: -5.24
Total magnetization in μB per cell: 0.0
Formation enthalpy at 0 K in eV per formula unit: -2.596

No. 4
A plane-wave DFT calculation with GGA-PBEsol was carried out for a relaxed structure of Ho2ZnAu.

The structure in extended XYZ format:
```
4
Lattice="-3.690 2.700 1.923 -3.965 1.107 -2.767 -4.376 -2.120 0.977" Properties=species:S:1:pos:R:3 pbc="T T T"
Zn 0.000 0.000 0.000
Au -6.016 0.843 0.067
Ho -3.008 0.422 0.033
Ho -9.024 1.265 0.100
```

Calculated values
SG: Fm-3m (225)
Total DFT energy (no corrections) in eV/atom: -4.46
Total magnetization in μB per cell: 0.0
Formation enthalpy at 0 K in eV per formula unit: -2.425

No. 5
A plane-wave DFT calculation with GGA-PBEsol was carried out for a relaxed structure of In2Au2I.

The structure in extended XYZ format:
```
5
Lattice="-0.402 1.364 4.611 -0.942 -4.560 1.267 6.066 0.689 -2.200" Properties=species:S:1:pos:R:3 pbc="T T T"
Au 4.064 -0.685 0.557
In 2.496 0.227 2.675
Au 0.658 -1.822 3.121
I 0.000 0.000 0.000
In 2.226 -2.735 1.003
```

Calculated values
SG: I4/mmm (139)
ΔE_f (raw) in eV per atom: -0.065
Total DFT energy (no corrections) in eV/atom: -3.18
Total magnetization in μB per cell: 0.0

No. 6
A plane-wave DFT calculation with GGA-PBEsol was carried out for a relaxed structure of InIrAu2I.

The structure in extended XYZ format:
```
5
Lattice="-1.004 4.673 -1.287 -4.751 -0.689 1.206 1.148 1.771 5.534" Properties=species:S:1:pos:R:3 pbc="T T T"
Au -0.502 2.336 -0.644
I 0.574 0.886 2.767
In 0.000 0.000 0.000
Ir -2.303 2.878 2.726
Au -2.375 -0.344 0.603
```

Calculated values
SG: P4/mmm (123)
ΔE_f (raw) in eV per atom: 1.648
Total DFT energy (no corrections) in eV/atom: -2.84
Total magnetization in μB per cell: 2.0

No. 7
A plane-wave DFT calculation with GGA-PBEsol was carried out for a relaxed structure of InAuIO2.

The structure in extended XYZ format:
```
5
Lattice="-2.487 -0.113 -3.427 3.213 -1.556 -2.280 -1.519 -4.995 1.267" Properties=species:S:1:pos:R:3 pbc="T T T"
Au 0.000 0.000 0.000
O 1.607 -0.778 -1.140
O -1.243 -0.057 -1.714
I -0.759 -2.497 0.634
In -0.396 -3.332 -2.220
```

Calculated values
SG: P4/mmm (123)
ΔE_f (raw) in eV per atom: 0.316
Total DFT energy (no corrections) in eV/atom: -3.52
Total magnetization in μB per cell: 0.5

No. 8
A plane-wave DFT calculation with GGA-PBEsol was carried out for a relaxed structure of InAuIO2.

The structure in extended XYZ format:
```
5
Lattice="4.011 0.000 0.000 0.000 4.011 0.000 0.000 0.000 6.637" Properties=species:S:1:pos:R:3 pbc="T T T"
In 0.000 0.000 0.000
Au 2.006 2.006 3.319
O 2.006 0.000 0.000
I 0.000 0.000 3.319
O 0.000 2.006 0.000
```

Calculated values
SG: P4/mmm (123)
ΔE_f (raw) in eV per atom: -0.115
Total DFT energy (no corrections) in eV/atom: -3.95
Total magnetization in μB per cell: 0.8